VASP calculation (PBE) on a relaxed TaReNi2 crystal.

Results
- Crystal system: trigonal
- Mass density: 14369 kg/m³
- ΔH_f (0 K): 147 meV per atom
- Raw total energy: -35.28 eV per cell
- Total magnetic moment: 0.00 μB/atom

a = 8.8265 Å, b = 8.8265 Å, c = 8.8265 Å
α = 17.78°, β = 17.78°, γ = 17.78°
Atoms (fractional coordinates):
Ta  0.0000  0.0000  0.0000
Re  0.5000  0.5000  0.5000
Ni  0.2475  0.2475  0.2475
Ni  0.7525  0.7525  0.7525


VASP calculation (PBE) on a relaxed Ta2ReNi crystal.

Results
- Crystal system: tetragonal
- Mass density: 16107 kg/m³
- ΔH_f (0 K): 17 meV per atom
- Raw total energy: -41.87 eV per cell
- Total magnetic moment: 0.00 μB/atom

a = 2.7280 Å, b = 2.7280 Å, c = 8.4063 Å
α = 90.00°, β = 90.00°, γ = 90.00°
Atoms (fractional coordinates):
Ta  0.0000  0.0000  0.0000
Ta  0.5000  0.5000  0.2837
Re  0.5000  0.5000  0.7275
Ni  0.0000  0.0000  0.5248


VASP calculation (PBE) on a relaxed Ta2ReNi crystal.

Results
- Crystal system: monoclinic
- Mass density: 15978 kg/m³
- ΔH_f (0 K): -43 meV per atom
- Raw total energy: -42.11 eV per cell
- Total magnetic moment: 0.00 μB/atom

a = 2.7354 Å, b = 4.2453 Å, c = 5.5609 Å
α = 90.00°, β = 102.44°, γ = 90.00°
Atoms (fractional coordinates):
Ta  0.2342  0.0000  0.2512
Ta  0.7658  0.0000  0.7488
Re  0.0000  0.5000  0.5000
Ni  0.5000  0.5000  0.0000


VASP calculation (PBE) on a relaxed TaRe2Ni crystal.

Results
- Crystal system: orthorhombic
- Mass density: 17182 kg/m³
- ΔH_f (0 K): 21 meV per atom
- Raw total energy: -42.45 eV per cell
- Total magnetic moment: 0.00 μB/atom

a = 2.6950 Å, b = 2.6950 Å, c = 8.4342 Å
α = 90.00°, β = 90.00°, γ = 105.08°
Atoms (fractional coordinates):
Ta  0.0000  0.0000  0.0000
Re  0.5000  0.5000  0.2690
Re  0.5000  0.5000  0.7310
Ni  0.0000  0.0000  0.5000


VASP calculation (PBE) on a relaxed Ta2ReNi crystal.

Results
- Crystal system: tetragonal
- Mass density: 16107 kg/m³
- ΔH_f (0 K): -72 meV per atom
- Raw total energy: -42.22 eV per cell
- Total magnetic moment: 0.00 μB/atom

a = 3.2468 Å, b = 3.2468 Å, c = 5.9342 Å
α = 90.00°, β = 90.00°, γ = 90.00°
Atoms (fractional coordinates):
Ta  0.0000  0.0000  0.0000
Ta  0.5000  0.5000  0.2946
Re  0.5000  0.5000  0.7620
Ni  0.0000  0.0000  0.5092


VASP calculation (PBE) on a relaxed Ta2ReNi crystal.

Results
- Crystal system: tetragonal
- Mass density: 15125 kg/m³
- ΔH_f (0 K): 459 meV per atom
- Raw total energy: -80.20 eV per cell
- Total magnetic moment: 0.00 μB/atom

a = 5.6480 Å, b = 5.6480 Å, c = 5.6480 Å
α = 103.39°, β = 103.39°, γ = 122.48°
Atoms (fractional coordinates):
Ta  0.1114  0.6250  0.9864
Ta  0.3750  0.3614  0.4864
Ta  0.6386  0.1250  0.0136
Ta  0.8750  0.8886  0.5136
Re  0.2500  0.7500  0.5000
Re  0.5000  0.5000  0.0000
Ni  0.0000  0.0000  0.0000
Ni  0.7500  0.2500  0.5000


VASP calculation (PBE) on a relaxed TaRe2Ni crystal.

Results
- Crystal system: orthorhombic
- Mass density: 17185 kg/m³
- ΔH_f (0 K): -82 meV per atom
- Raw total energy: -42.86 eV per cell
- Total magnetic moment: 0.00 μB/atom

a = 4.6956 Å, b = 4.6956 Å, c = 4.6956 Å
α = 130.31°, β = 129.89°, γ = 73.25°
Atoms (fractional coordinates):
Ta  0.0000  0.0000  0.0000
Re  0.4994  0.4994  0.0000
Re  0.7496  0.2496  0.5000
Ni  0.2497  0.7497  0.5000


VASP calculation (PBE) on a relaxed Ta2ReNi crystal.

Results
- Crystal system: trigonal
- Mass density: 15925 kg/m³
- ΔH_f (0 K): 177 meV per atom
- Raw total energy: -41.23 eV per cell
- Total magnetic moment: 0.00 μB/atom

a = 9.3363 Å, b = 9.3363 Å, c = 9.3363 Å
α = 17.37°, β = 17.37°, γ = 17.37°
Atoms (fractional coordinates):
Ta  0.2453  0.2453  0.2453
Ta  0.7547  0.7547  0.7547
Re  0.0000  0.0000  0.0000
Ni  0.5000  0.5000  0.5000


VASP calculation (PBE) on a relaxed TaReNi2 crystal.

Results
- Crystal system: trigonal
- Mass density: 14275 kg/m³
- ΔH_f (0 K): 153 meV per atom
- Raw total energy: -35.25 eV per cell
- Total magnetic moment: 0.04 μB/atom

a = 8.8254 Å, b = 8.8254 Å, c = 8.8254 Å
α = 17.85°, β = 17.85°, γ = 17.85°
Atoms (fractional coordinates):
Ta  0.0000  0.0000  0.0000
Re  0.7625  0.7625  0.7625
Ni  0.2501  0.2501  0.2501
Ni  0.5071  0.5071  0.5071


VASP calculation (PBE) on a relaxed TaReNi2 crystal.

Results
- Crystal system: tetragonal
- Mass density: 14795 kg/m³
- ΔH_f (0 K): -151 meV per atom
- Raw total energy: -36.47 eV per cell
- Total magnetic moment: 0.00 μB/atom

a = 3.8055 Å, b = 3.8055 Å, c = 3.7552 Å
α = 90.00°, β = 90.00°, γ = 90.00°
Atoms (fractional coordinates):
Ta  0.0000  0.0000  0.0000
Re  0.5000  0.5000  0.0000
Ni  0.0000  0.5000  0.5000
Ni  0.5000  0.0000  0.5000


VASP calculation (PBE) on a relaxed TaRe2Ni crystal.

Results
- Crystal system: monoclinic
- Mass density: 16990 kg/m³
- ΔH_f (0 K): 14 meV per atom
- Raw total energy: -42.47 eV per cell
- Total magnetic moment: 0.00 μB/atom

a = 2.6822 Å, b = 4.3473 Å, c = 5.2310 Å
α = 90.00°, β = 101.27°, γ = 90.00°
Atoms (fractional coordinates):
Ta  0.0000  0.0000  0.0000
Re  0.2467  0.5000  0.7301
Re  0.5146  0.0000  0.4928
Ni  0.8758  0.5000  0.2372


VASP calculation (PBE) on a relaxed TaRe2Ni crystal.

Results
- Crystal system: tetragonal
- Mass density: 17261 kg/m³
- ΔH_f (0 K): -108 meV per atom
- Raw total energy: -42.96 eV per cell
- Total magnetic moment: 0.00 μB/atom

a = 3.8295 Å, b = 3.8295 Å, c = 4.0150 Å
α = 90.00°, β = 90.00°, γ = 90.00°
Atoms (fractional coordinates):
Ta  0.0000  0.0000  0.0000
Re  0.0000  0.5000  0.5000
Re  0.5000  0.0000  0.5000
Ni  0.5000  0.5000  0.0000


VASP calculation (PBE) on a relaxed TaReNi2 crystal.

Results
- Crystal system: monoclinic
- Mass density: 14654 kg/m³
- ΔH_f (0 K): -71 meV per atom
- Raw total energy: -36.15 eV per cell
- Total magnetic moment: 0.00 μB/atom

a = 4.5907 Å, b = 4.5907 Å, c = 4.7466 Å
α = 98.04°, β = 98.04°, γ = 33.70°
Atoms (fractional coordinates):
Ta  0.0000  0.0000  0.0000
Re  0.7614  0.7614  0.3071
Ni  0.2494  0.2494  0.7664
Ni  0.5051  0.5051  0.5155


VASP calculation (PBE) on a relaxed TaRe2Ni crystal.

Results
- Crystal system: cubic
- Mass density: 17026 kg/m³
- ΔH_f (0 K): 153 meV per atom
- Raw total energy: -41.92 eV per cell
- Total magnetic moment: 0.00 μB/atom

a = 4.3868 Å, b = 4.3868 Å, c = 4.3868 Å
α = 60.00°, β = 60.00°, γ = 60.00°
Atoms (fractional coordinates):
Ta  0.0000  0.0000  0.0000
Re  0.2500  0.2500  0.2500
Re  0.7500  0.7500  0.7500
Ni  0.5000  0.5000  0.5000


VASP calculation (PBE) on a relaxed Ta2ReNi crystal.

Results
- Crystal system: monoclinic
- Mass density: 15797 kg/m³
- ΔH_f (0 K): 113 meV per atom
- Raw total energy: -41.48 eV per cell
- Total magnetic moment: 0.00 μB/atom

a = 4.7064 Å, b = 2.9041 Å, c = 5.0157 Å
α = 90.00°, β = 111.50°, γ = 90.00°
Atoms (fractional coordinates):
Ta  0.0000  0.0000  0.0000
Ta  0.0000  0.5000  0.5000
Re  0.5000  0.0000  0.5000
Ni  0.5000  0.5000  0.0000


VASP calculation (PBE) on a relaxed TaRe2Ni crystal.

Results
- Crystal system: monoclinic
- Mass density: 17068 kg/m³
- ΔH_f (0 K): 19 meV per atom
- Raw total energy: -42.45 eV per cell
- Total magnetic moment: 0.00 μB/atom

a = 4.7711 Å, b = 4.7711 Å, c = 4.7627 Å
α = 99.77°, β = 99.77°, γ = 33.92°
Atoms (fractional coordinates):
Ta  0.0000  0.0000  0.0000
Re  0.2380  0.2380  0.7338
Re  0.7620  0.7620  0.2662
Ni  0.5000  0.5000  0.5000


VASP calculation (PBE) on a relaxed TaReNi2 crystal.

Results
- Crystal system: monoclinic
- Mass density: 14830 kg/m³
- ΔH_f (0 K): -139 meV per atom
- Raw total energy: -36.42 eV per cell
- Total magnetic moment: 0.00 μB/atom

a = 2.6362 Å, b = 4.1612 Å, c = 5.0401 Å
α = 90.00°, β = 101.10°, γ = 90.00°
Atoms (fractional coordinates):
Ta  0.0000  0.0000  0.0000
Re  0.2656  0.5000  0.6707
Ni  0.5918  0.5000  0.2200
Ni  0.6731  0.0000  0.4802


VASP calculation (PBE) on a relaxed TaRe4Ni crystal.

Results
- Crystal system: cubic
- Mass density: 16955 kg/m³
- ΔH_f (0 K): 195 meV per atom
- Raw total energy: -66.25 eV per cell
- Total magnetic moment: 0.00 μB/atom

a = 5.1470 Å, b = 5.1470 Å, c = 5.1470 Å
α = 60.00°, β = 60.00°, γ = 60.00°
Atoms (fractional coordinates):
Ta  0.0000  0.0000  0.0000
Re  0.3761  0.3761  0.3761
Re  0.3761  0.3761  0.8718
Re  0.3761  0.8718  0.3761
Re  0.8718  0.3761  0.3761
Ni  0.7500  0.7500  0.7500


VASP calculation (PBE) on a relaxed TaReNi2 crystal.

Results
- Crystal system: tetragonal
- Mass density: 14782 kg/m³
- ΔH_f (0 K): -26 meV per atom
- Raw total energy: -35.97 eV per cell
- Total magnetic moment: 0.00 μB/atom

a = 2.6906 Å, b = 2.6906 Å, c = 7.5188 Å
α = 90.00°, β = 90.00°, γ = 90.00°
Atoms (fractional coordinates):
Ta  0.0000  0.0000  0.0000
Re  0.0000  0.0000  0.5000
Ni  0.5000  0.5000  0.2602
Ni  0.5000  0.5000  0.7398


VASP calculation (PBE) on a relaxed TaReNi2 crystal.

Results
- Crystal system: tetragonal
- Mass density: 14567 kg/m³
- ΔH_f (0 K): -15 meV per atom
- Raw total energy: -35.92 eV per cell
- Total magnetic moment: 0.31 μB/atom

a = 4.7172 Å, b = 4.7172 Å, c = 4.7172 Å
α = 132.94°, β = 132.94°, γ = 68.75°
Atoms (fractional coordinates):
Ta  0.0000  0.0000  0.0000
Re  0.2500  0.7500  0.5000
Ni  0.5000  0.5000  0.0000
Ni  0.7500  0.2500  0.5000